First-principles (PBE+U) data for a relaxed structure of Rb2BaCrO4, as listed in Alexandria via LeMat-Bulk.

Cell: 7.498 7.695 6.235 Å, 90.00 90.00 90.00°
Atoms (fractional coordinates):
Rb1 0.235 0.151 0.000
Rb2 0.265 0.849 0.500
Rb3 0.735 0.849 0.500
Rb4 0.765 0.151 0.000
Ba1 0.000 0.396 0.488
Ba2 0.500 0.604 0.988
Cr1 0.000 0.674 0.979
Cr2 0.500 0.326 0.479
O1 0.000 0.449 0.066
O2 0.000 0.677 0.688
O3 0.204 0.783 0.063
O4 0.296 0.217 0.563
O5 0.500 0.323 0.188
O6 0.500 0.551 0.566
O7 0.704 0.217 0.563
O8 0.796 0.783 0.063

Total energy, eV/atom: -5.726